Here is crystalline TmAg2Sn3Se6 at its relaxed geometry from the Alexandria database. Energies are from PBE.

For the volume, the calculation gives 607 Å³ per cell. As for the final energy: -4.193 eV/atom.

It has space group C2/m (No. 12), with a = 7.158 Å, b = 12.443 Å, c = 7.217 Å, α = 90.00°, β = 109.12° and γ = 90.00°. The inequivalent atoms are Tm at (0.000, 0.000, 0.000), Ag at (0.000, 0.329, 0.000), Sn at (0.000, 0.162, 0.500), Sn at (0.000, 0.500, 0.500), Se at (0.243, 0.162, 0.235) and Se at (0.246, 0.000, 0.758).